VASP calculation (GGA-PBE) on a relaxed In4HgBi crystal.

Properties
Space group ... P4/mmm (123)
Electronic total energy ... -14.98 eV/cell
Energy relative to the lowest polymorph listed for this composition ... 0 meV/atom

Cell lengths 3.956, 3.956, 10.779 Å; angles 90.00, 90.00, 90.00 degrees
Positions (direct):
In1 0.500 0.500 0.168
In2 0.000 0.000 0.660
In3 0.000 0.000 0.340
In4 0.500 0.500 0.832
Bi1 0.000 0.000 0.000
Hg1 0.500 0.500 0.500